Record 1
Material: AlTlSe
Method: DFT, PBE-GGA
State: optimized geometry

As for the size of the total moment: 0.00 μB/f.u. The calculation puts the distance to the lowest polymorph of the same formula at 0.000 eV per atom. Its uncorrected formation energy is -305.2 meV/atom. The calculation puts the density of states at the Fermi level at 4.34 states/eV/cell.

The structure belongs to space group Pnma (No. 62); the cell edges are 13.792, 3.805 and 6.011 Å and the angles 90.00°, 90.00° and 90.00°. The inequivalent atoms are Al at (0.177, 0.250, 0.078), Tl at (0.001, 0.750, 0.249) and Se at (0.211, 0.250, 0.492).

---

Record 2
Material: AlTlSe3
Method: DFT, PBE-GGA
State: optimized geometry

As for the size of the total moment: 0.00 μB/f.u. The calculation puts the distance to the lowest polymorph of the same formula at 1.091 eV per atom. Its uncorrected formation energy is 597.8 meV/atom. The calculation puts the density of states at the Fermi level at 4.90 states/eV/cell.

The structure belongs to space group Pm-3m (No. 221); the cell edges are 5.412, 5.412 and 5.412 Å and the angles 90.00°, 90.00° and 90.00°. The inequivalent atoms are Al at (0.000, 0.000, 0.000), Tl at (0.500, 0.500, 0.500) and Se at (0.000, 0.500, 0.500).

---

Record 3
Material: Al3TlSe
Method: DFT, PBE-GGA
State: optimized geometry

As for the size of the total moment: 0.00 μB/f.u. The calculation puts the distance to the lowest polymorph of the same formula at 0.225 eV per atom. Its uncorrected formation energy is 745.5 meV/atom. The calculation puts the density of states at the Fermi level at 1.73 states/eV/cell.

The structure belongs to space group Pm-3m (No. 221); the cell edges are 5.245, 5.245 and 5.245 Å and the angles 90.00°, 90.00° and 90.00°. The inequivalent atoms are Al at (0.000, 0.000, 0.500), Tl at (0.000, 0.000, 0.000) and Se at (0.500, 0.500, 0.500).

---

Record 4
Material: AlTlSe2
Method: DFT, PBE-GGA
State: optimized geometry

As for the size of the total moment: 0.00 μB/f.u. Its uncorrected formation energy is -497.6 meV/atom.

The structure belongs to space group P2/m (No. 10); the cell edges are 4.406, 3.545 and 7.458 Å and the angles 90.00°, 98.38° and 90.00°. The inequivalent atoms are Al at (0.000, 0.000, 0.000), Tl at (0.500, 0.000, 0.500) and Se at (0.074, 0.500, 0.781).

---

Record 5
Material: AlTlSe
Method: DFT, PBE-GGA
State: optimized geometry

As for the size of the total moment: 0.00 μB/f.u. The calculation puts the distance to the lowest polymorph of the same formula at 0.018 eV per atom. Its uncorrected formation energy is -287.2 meV/atom. The calculation puts the density of states at the Fermi level at 1.54 states/eV/cell.

The structure belongs to space group P3m1 (No. 156); the cell edges are 3.7641, 3.7641 and 6.5440 Å and the angles 90.00°, 90.00° and 120.00°. The inequivalent atoms are Al at (0.0000, 0.0000, 0.0000), Tl at (0.6667, 0.3333, 0.6341) and Se at (0.3333, 0.6667, 0.1948).

---

Record 6
Material: AlTlSe
Method: DFT, PBE-GGA
State: optimized geometry

As for the size of the total moment: 0.00 μB/f.u. The calculation puts the distance to the lowest polymorph of the same formula at 0.512 eV per atom. Its uncorrected formation energy is 207.3 meV/atom.

The structure belongs to space group F-43m (No. 216); the cell edges are 7.112, 7.112 and 7.112 Å and the angles 90.00°, 90.00° and 90.00°. The inequivalent atoms are Al at (0.000, 0.000, 0.000), Tl at (0.250, 0.250, 0.250) and Se at (0.000, 0.000, 0.500).

---

Record 7
Material: AlTlSe
Method: DFT, PBE-GGA
State: optimized geometry

As for the size of the total moment: 0.00 μB/f.u. The calculation puts the distance to the lowest polymorph of the same formula at 0.171 eV per atom. Its uncorrected formation energy is -134.6 meV/atom. The calculation puts the density of states at the Fermi level at 0.60 states/eV/cell.

The structure belongs to space group P4/nmm (No. 129, origin choice 2); the cell edges are 5.015, 5.015 and 6.662 Å and the angles 90.00°, 90.00° and 90.00°. The inequivalent atoms are Al at (0.250, 0.750, 0.000), Tl at (0.250, 0.250, 0.391) and Se at (0.250, 0.250, 0.882).

---

Record 8
Material: Al3TlSe
Method: DFT, PBE-GGA
State: optimized geometry

As for the size of the total moment: 0.00 μB/f.u. The calculation puts the distance to the lowest polymorph of the same formula at 0.000 eV per atom. Its uncorrected formation energy is 520.5 meV/atom. The calculation puts the density of states at the Fermi level at 2.97 states/eV/cell.

The structure belongs to space group Pm-3m (No. 221); the cell edges are 5.061, 5.061 and 5.061 Å and the angles 90.00°, 90.00° and 90.00°. The inequivalent atoms are Al at (0.000, 0.000, 0.500), Tl at (0.500, 0.500, 0.500) and Se at (0.000, 0.000, 0.000).

---

Record 9
Material: AlTlSe2
Method: DFT, PBE-GGA
State: optimized geometry

As for the size of the total moment: 0.00 μB/f.u. Its uncorrected formation energy is 249.4 meV/atom. The calculation puts the density of states at the Fermi level at 17.24 states/eV/cell.

The structure belongs to space group F-43m (No. 216); the cell edges are 7.217, 7.217 and 7.217 Å and the angles 90.00°, 90.00° and 90.00°. The inequivalent atoms are Al at (0.000, 0.000, 0.000), Tl at (0.250, 0.250, 0.250), Se at (0.000, 0.000, 0.500) and Se at (0.250, 0.250, 0.750).

---

Record 10
Material: AlTlSe2
Method: DFT, PBE-GGA
State: optimized geometry

As for the size of the total moment: 0.00 μB/f.u. Its uncorrected formation energy is -424.6 meV/atom. The calculation puts the density of states at the Fermi level at 0.28 states/eV/cell.

The structure belongs to space group Immm (No. 71); the cell edges are 3.627, 6.997 and 8.949 Å and the angles 90.00°, 90.00° and 90.00°. The inequivalent atoms are Al at (0.000, 0.000, 0.000), Tl at (0.000, 0.000, 0.500) and Se at (0.000, 0.500, 0.314).

---

Record 11
Material: AlTl2Se
Method: DFT, PBE-GGA
State: optimized geometry

As for the size of the total moment: 0.00 μB/f.u. Its uncorrected formation energy is 134.1 meV/atom. The calculation puts the density of states at the Fermi level at 9.78 states/eV/cell.

The structure belongs to space group F-43m (No. 216); the cell edges are 7.552, 7.552 and 7.552 Å and the angles 90.00°, 90.00° and 90.00°. The inequivalent atoms are Al at (0.000, 0.000, 0.000), Tl at (0.000, 0.000, 0.500), Tl at (0.250, 0.250, 0.750) and Se at (0.250, 0.250, 0.250).

---

Record 12
Material: Al2TlSe2
Method: DFT, PBE-GGA
State: optimized geometry

As for the size of the total moment: 0.00 μB/f.u. The calculation puts the distance to the lowest polymorph of the same formula at 0.000 eV per atom. Its uncorrected formation energy is -363.5 meV/atom. The calculation puts the density of states at the Fermi level at 2.79 states/eV/cell.

The structure belongs to space group I4/mmm (No. 139); the cell edges are 5.045, 5.045 and 9.022 Å and the angles 90.00°, 90.00° and 90.00°. The inequivalent atoms are Al at (0.000, 0.000, 0.148), Tl at (0.000, 0.000, 0.500) and Se at (0.000, 0.500, 0.250).

---

Record 13
Material: AlTl2Se
Method: DFT, PBE-GGA
State: optimized geometry

As for the size of the total moment: 0.00 μB/f.u. Its uncorrected formation energy is -131.5 meV/atom. The calculation puts the density of states at the Fermi level at 4.32 states/eV/cell.

The structure belongs to space group C2/m (No. 12); the cell edges are 16.430, 3.711 and 3.646 Å and the angles 90.00°, 102.66° and 90.00°. The inequivalent atoms are Al at (0.000, 0.000, 0.000), Tl at (0.181, 0.000, 0.183) and Se at (0.000, 0.500, 0.500).

---

Record 14
Material: AlTlSe
Method: DFT, PBE-GGA
State: optimized geometry

As for the size of the total moment: 0.00 μB/f.u. The calculation puts the distance to the lowest polymorph of the same formula at 0.104 eV per atom. Its uncorrected formation energy is -200.9 meV/atom. The calculation puts the density of states at the Fermi level at 3.47 states/eV/cell.

The structure belongs to space group I4mm (No. 107); the cell edges are 3.538, 3.538 and 11.968 Å and the angles 90.00°, 90.00° and 90.00°. The inequivalent atoms are Al at (0.000, 0.000, 0.000), Tl at (0.000, 0.000, 0.304) and Se at (0.000, 0.000, 0.578).

---

Record 15
Material: AlTl2Se
Method: DFT, PBE-GGA
State: optimized geometry

As for the size of the total moment: 0.00 μB/f.u. Its uncorrected formation energy is -250.9 meV/atom. The calculation puts the density of states at the Fermi level at 7.20 states/eV/cell.

The structure belongs to space group R3m (No. 160, hexagonal axes); the cell edges are 3.6898, 3.6898 and 27.7657 Å and the angles 90.00°, 90.00° and 120.00°. The inequivalent atoms are Al at (0.0000, 0.0000, 0.0000), Tl at (0.0000, 0.0000, 0.5163), Tl at (0.0000, 0.0000, 0.7511) and Se at (0.0000, 0.0000, 0.2863).

---

Record 16
Material: AlTl2Se
Method: DFT, PBE-GGA
State: optimized geometry

As for the size of the total moment: 0.00 μB/f.u. Its uncorrected formation energy is -161.1 meV/atom. The calculation puts the density of states at the Fermi level at 2.35 states/eV/cell.

The structure belongs to space group Cm (No. 8); the cell edges are 11.616, 3.636 and 5.945 Å and the angles 90.00°, 118.04° and 90.00°. The inequivalent atoms are Al at (0.000, 0.000, 0.000), Tl at (0.064, 0.500, 0.486), Tl at (0.254, 0.500, 0.133) and Se at (0.362, 0.000, 0.722).

---

Record 17
Material: AlTl5Se4
Method: DFT, PBE-GGA
State: optimized geometry

As for the size of the total moment: 0.00 μB/f.u. Its uncorrected formation energy is -513.4 meV/atom.

The structure belongs to space group Pmmn (No. 59, origin choice 2); the cell edges are 8.460, 10.500 and 7.709 Å and the angles 90.00°, 90.00° and 90.00°. The inequivalent atoms are Al at (0.250, 0.250, 0.145), Tl at (0.036, 0.551, 0.274), Tl at (0.250, 0.750, 0.946), Se at (0.014, 0.250, 0.321) and Se at (0.250, 0.061, 0.964).

---

Record 18
Material: AlTl2Se
Method: DFT, PBE-GGA
State: optimized geometry

As for the size of the total moment: 0.00 μB/f.u. Its uncorrected formation energy is -145.8 meV/atom. The calculation puts the density of states at the Fermi level at 1.21 states/eV/cell.

The structure belongs to space group Pm (No. 6); the cell edges are 4.232, 3.820 and 7.162 Å and the angles 90.00°, 105.82° and 90.00°. The inequivalent atoms are Al at (0.000, 0.000, 0.000), Tl at (0.236, 0.000, 0.492), Tl at (0.585, 0.500, 0.183) and Se at (0.860, 0.500, 0.763).

---

Record 19
Material: AlTlSe2
Method: DFT, PBE-GGA
State: optimized geometry

As for the size of the total moment: 0.00 μB/f.u. Its uncorrected formation energy is -438.5 meV/atom. The calculation puts the density of states at the Fermi level at 1.53 states/eV/cell.

The structure belongs to space group P4mm (No. 99); the cell edges are 3.572, 3.572 and 9.057 Å and the angles 90.00°, 90.00° and 90.00°. The inequivalent atoms are Al at (0.000, 0.000, 0.000), Tl at (0.500, 0.500, 0.458), Se at (0.000, 0.000, 0.264) and Se at (0.500, 0.500, 0.913).

---

Record 20
Material: AlTlSe2
Method: DFT, PBE-GGA
State: optimized geometry

As for the size of the total moment: 0.00 μB/f.u. Its uncorrected formation energy is -393.6 meV/atom. The calculation puts the density of states at the Fermi level at 0.15 states/eV/cell.

The structure belongs to space group Cmmm (No. 65); the cell edges are 3.641, 8.978 and 8.599 Å and the angles 90.00°, 90.00° and 90.00°. The inequivalent atoms are Al at (0.000, 0.000, 0.000), Tl at (0.000, 0.000, 0.500) and Se at (0.000, 0.500, 0.194).

---

Record 21
Material: AlTlSe4
Method: DFT, PBE-GGA
State: optimized geometry

As for the size of the total moment: 0.00 μB/f.u. The calculation puts the distance to the lowest polymorph of the same formula at 0.551 eV per atom. Its uncorrected formation energy is 272.0 meV/atom. The calculation puts the density of states at the Fermi level at 3.79 states/eV/cell.

The structure belongs to space group F-43m (No. 216); the cell edges are 8.374, 8.374 and 8.374 Å and the angles 90.00°, 90.00° and 90.00°. The inequivalent atoms are Al at (0.000, 0.000, 0.000), Tl at (0.250, 0.250, 0.250) and Se at (0.126, 0.126, 0.626).

---

Record 22
Material: AlTlSe2
Method: DFT, PBE-GGA
State: optimized geometry

As for the size of the total moment: 0.00 μB/f.u. Its uncorrected formation energy is -714.8 meV/atom. The calculation puts the density of states at the Fermi level at 0.00 states/eV/cell.

The structure belongs to space group I-42d (No. 122); the cell edges are 7.296, 7.296 and 8.799 Å and the angles 90.00°, 90.00° and 90.00°. The inequivalent atoms are Al at (0.000, 0.000, 0.000), Tl at (0.000, 0.000, 0.500) and Se at (0.157, 0.750, 0.125).

---

Record 23
Material: AlTl8Se6
Method: DFT, PBE-GGA
State: optimized geometry

As for the size of the total moment: 0.00 μB/f.u. Its uncorrected formation energy is -393.7 meV/atom. The calculation puts the density of states at the Fermi level at 9.55 states/eV/cell.

The structure belongs to space group Pmn2_1 (No. 31); the cell edges are 8.938, 9.609 and 11.452 Å and the angles 90.00°, 90.00° and 90.00°. The inequivalent atoms are Al at (0.000, 0.250, 0.000), Tl at (0.000, 0.703, 0.530), Tl at (0.000, 0.728, 0.945), Tl at (0.208, 0.200, 0.611), Tl at (0.219, 0.065, 0.325), Tl at (0.238, 0.445, 0.292), Se at (0.000, 0.040, 0.117), Se at (0.000, 0.406, 0.480), Se at (0.000, 0.471, 0.106), Se at (0.000, 0.958, 0.670) and Se at (0.226, 0.249, 0.878).

---

Record 24
Material: AlTlSe2
Method: DFT, PBE-GGA
State: optimized geometry

As for the size of the total moment: 0.00 μB/f.u. Its uncorrected formation energy is -721.9 meV/atom.

The structure belongs to space group C2/m (No. 12); the cell edges are 17.388, 3.927 and 7.343 Å and the angles 90.00°, 114.71° and 90.00°. The inequivalent atoms are Al at (0.098, 0.000, 0.098), Tl at (0.131, 0.500, 0.627), Se at (0.001, 0.000, 0.747) and Se at (0.189, 0.500, 0.190).

---

Record 25
Material: AlTlSe2
Method: DFT, PBE-GGA
State: optimized geometry

As for the size of the total moment: 0.00 μB/f.u. Its uncorrected formation energy is -279.7 meV/atom. The calculation puts the density of states at the Fermi level at 2.83 states/eV/cell.

The structure belongs to space group R3m (No. 160, hexagonal axes); the cell edges are 3.8088, 3.8088 and 26.1981 Å and the angles 90.00°, 90.00° and 120.00°. The inequivalent atoms are Al at (0.0000, 0.0000, 0.0000), Tl at (0.0000, 0.0000, 0.2467), Se at (0.0000, 0.0000, 0.5168) and Se at (0.0000, 0.0000, 0.7117).

---

Record 26
Material: Al2Tl2Se
Method: DFT, PBE-GGA
State: optimized geometry

As for the size of the total moment: 0.00 μB/f.u. The calculation puts the distance to the lowest polymorph of the same formula at 0.000 eV per atom. Its uncorrected formation energy is 57.0 meV/atom. The calculation puts the density of states at the Fermi level at 2.86 states/eV/cell.

The structure belongs to space group P4/mbm (No. 127); the cell edges are 7.037, 7.037 and 5.055 Å and the angles 90.00°, 90.00° and 90.00°. The inequivalent atoms are Al at (0.137, 0.363, 0.000), Tl at (0.173, 0.673, 0.500) and Se at (0.000, 0.000, 0.000).

---

DFT total energy (computed, eV/cell): -42.036, -13.574, -13.351, -15.068, -10.455, -35.886, -19.994, -14.476, -48.322, -29.553, -45.692, -37.276, -24.971, -20.392, -38.890, -25.208, -69.292, -12.543, -14.832, -29.304, -73.659, -63.749, -98.971, -63.861, -42.590, -30.834